Compound: Dy5Tl4Rh
Source: Alexandria
Functional: GGA-PBE
Structure: relaxed

Properties
* energy of formation from the pure elements: -44.1 kJ per mole of atoms
* raw total energy: -4.44 eV/atom
* D(E_F): 7.07 states/eV per cell
* magnetic moment: 0.46 μB per formula unit

The structure in CIF format:
```
data_Dy5Tl4Rh
_cell_length_a 3.519
_cell_length_b 3.519
_cell_length_c 20.800
_cell_angle_alpha 90.00
_cell_angle_beta 90.00
_cell_angle_gamma 90.00
_symmetry_space_group_name_H-M 'P 4/m m m'
_symmetry_Int_Tables_number 123
_symmetry_space_group_name_Hall '-P 4 2'
loop_
_atom_site_label
_atom_site_type_symbol
_atom_site_fract_x
_atom_site_fract_y
_atom_site_fract_z
_atom_site_occupancy
Dy1 Dy 0.000 0.000 0.000 1
Dy2 Dy 0.000 0.000 0.208 1
Dy3 Dy 0.000 0.000 0.420 1
Tl1 Tl 0.500 0.500 0.104 1
Tl2 Tl 0.500 0.500 0.312 1
Rh1 Rh 0.500 0.500 0.500 1
```


Compound: Dy6Tl5Rh
Source: Alexandria
Functional: GGA-PBE
Structure: relaxed

Properties
* energy of formation from the pure elements: -38.9 kJ per mole of atoms
* raw total energy: -4.30 eV/atom
* D(E_F): 18.20 states/eV per cell
* magnetic moment: 0.00 μB per formula unit

The structure in CIF format:
```
data_Dy6Tl5Rh
_cell_length_a 16.486
_cell_length_b 7.589
_cell_length_c 5.297
_cell_angle_alpha 90.00
_cell_angle_beta 108.59
_cell_angle_gamma 90.00
_symmetry_space_group_name_H-M 'C 1 2/m 1'
_symmetry_Int_Tables_number 12
loop_
_symmetry_equiv_pos_as_xyz
'x,y,z'
'-x,-y,-z'
'-x,y,-z'
'x,-y,z'
'x+1/2,y+1/2,z'
'-x+1/2,-y+1/2,-z'
'-x+1/2,y+1/2,-z'
'x+1/2,-y+1/2,z'
loop_
_atom_site_label
_atom_site_type_symbol
_atom_site_fract_x
_atom_site_fract_y
_atom_site_fract_z
_atom_site_occupancy
Dy1 Dy 0.000 0.226 0.000 1
Dy2 Dy 0.154 0.232 0.654 1
Tl1 Tl 0.000 0.500 0.500 1
Tl2 Tl 0.164 0.500 0.164 1
Tl3 Tl 0.180 0.000 0.180 1
Rh1 Rh 0.000 0.000 0.500 1
```


Compound: DyTlRh
Source: Alexandria
Functional: GGA-PBE
Structure: relaxed

Properties
* energy of formation from the pure elements: -41.8 kJ per mole of atoms
* raw total energy: -5.21 eV/atom
* D(E_F): 3.93 states/eV per cell
* magnetic moment: 0.00 μB per formula unit

The structure in CIF format:
```
data_DyTlRh
_cell_length_a 3.627
_cell_length_b 3.627
_cell_length_c 9.856
_cell_angle_alpha 90.00
_cell_angle_beta 90.00
_cell_angle_gamma 90.00
_symmetry_space_group_name_H-M 'I 4 m m'
_symmetry_Int_Tables_number 107
_symmetry_space_group_name_Hall 'I 4 -2'
loop_
_atom_site_label
_atom_site_type_symbol
_atom_site_fract_x
_atom_site_fract_y
_atom_site_fract_z
_atom_site_occupancy
Dy1 Dy 0.000 0.000 0.000 1
Tl1 Tl 0.000 0.000 0.694 1
Rh1 Rh 0.000 0.000 0.354 1
```


- Which of these has the highest magnetic moment?
  Dy5Tl4Rh